--- w ---
First-principles (PBE) data for an optimized crystal structure of PmLu2Pt, as listed in the Alexandria database. Values from VASP.

Properties
M_tot: 0.00 μB per formula unit

```
&SYSTEM
  ibrav = 0, nat = 4, ntyp = 3
/
ATOMIC_SPECIES
Pm 145.00 Pm.upf
Lu 174.97 Lu.upf
Pt 195.08 Pt.upf
ATOMIC_POSITIONS crystal
Pm 0.000 0.000 0.000
Lu 0.226 0.226 0.226
Lu 0.774 0.774 0.774
Pt 0.500 0.500 0.500
CELL_PARAMETERS angstrom
1.903 1.099 9.341
-1.903 1.099 9.341
0.000 -2.197 9.341
```

***

--- x ---
First-principles (PBE) data for an optimized crystal structure of PmLu2Pt, as listed in the Alexandria database. Values from VASP.

Properties
M_tot: 0.00 μB per formula unit

```
&SYSTEM
  ibrav = 0, nat = 4, ntyp = 3
/
ATOMIC_SPECIES
Pm 145.00 Pm.upf
Lu 174.97 Lu.upf
Pt 195.08 Pt.upf
ATOMIC_POSITIONS crystal
Pm 0.000 0.000 0.000
Lu 0.500 0.500 0.310
Lu 0.500 0.500 0.690
Pt 0.000 0.000 0.500
CELL_PARAMETERS angstrom
3.497 0.000 0.000
0.000 3.497 0.000
0.000 0.000 8.502
```

***

Which one sits at the top of the stability order? x does.